# 1
HoEr3Mg7: relaxed, PBE.

DOS at the Fermi energy, states/eV/atom: 0.8924
Energy relative to the elements, eV/atom: 0.103
Final energy, eV/cell: -113.17
Offset from the most stable computed form, meV/atom: 0

```
data_HoEr3Mg7
_chemical_formula_sum 'Ho4 Er12 Mg28'
_symmetry_space_group_name_H-M 'C m c m'
_symmetry_Int_Tables_number 63
_symmetry_space_group_name_Hall '-C 2c 2'
_cell_length_a 3.2856
_cell_length_b 22.3593
_cell_length_c 16.3301
_cell_angle_alpha 90.00
_cell_angle_beta 90.00
_cell_angle_gamma 90.00
loop_
_atom_site_label
_atom_site_type_symbol
_atom_site_fract_x
_atom_site_fract_y
_atom_site_fract_z
Ho1 Ho 0.0000 0.0131 0.2500
Er1 Er 0.0000 0.1178 0.5317
Er2 Er 0.0000 0.2361 0.2500
Mg1 Mg 0.0000 0.2614 0.5755
Mg2 Mg 0.0000 0.3756 0.6574
Mg3 Mg 0.0000 0.3829 0.2500
Mg4 Mg 0.0000 0.4941 0.5841
```

---

# 2
La3Rh2Pb3: relaxed, PBE.

DOS at the Fermi energy, states/eV/atom: 0.6753
Energy relative to the elements, eV/atom: -0.618
Final energy, eV/cell: -182.22

```
data_La3Rh2Pb3
_chemical_formula_sum 'La12 Rh8 Pb12'
_symmetry_space_group_name_H-M 'C m c m'
_symmetry_Int_Tables_number 63
_symmetry_space_group_name_Hall '-C 2c 2'
_cell_length_a 4.8630
_cell_length_b 11.0193
_cell_length_c 16.1420
_cell_angle_alpha 90.00
_cell_angle_beta 90.00
_cell_angle_gamma 90.00
loop_
_atom_site_label
_atom_site_type_symbol
_atom_site_fract_x
_atom_site_fract_y
_atom_site_fract_z
La1 La 0.0000 0.0680 0.1127
La2 La 0.0000 0.3534 0.2500
Rh1 Rh 0.0000 0.1827 0.6127
Pb1 Pb 0.0000 0.3494 0.7500
Pb2 Pb 0.0000 0.3602 0.0306
```